(1)
Computed, not measured: a relaxed structure of CoPtPb at the PBE level of DFT.

a b c (Å): 3.1847 3.1847 6.2358
angles (deg): 90.00 90.00 120.00
Last column: magnetic moment on the atom in μB.
Atoms (fractional coordinates):
Pt 0.3333 0.6667 0.6972  0.17
Pb 0.6667 0.3333 0.3231  -0.02
Co 0.0000 0.0000 0.9797  1.70

E_tot in eV/atom: -5.1883
Space-group type: No. 156
Energy above the most stable polymorph in this dataset in meV per atom: 198


(2)
Computed, not measured: a relaxed structure of ErTm9Sc2 at the PBE level of DFT.

a b c (Å): 4.8841 4.8841 14.6349
angles (deg): 90.00 90.00 90.00
Atoms (fractional coordinates):
Tm 0.0000 0.5000 0.8297
Tm 0.5000 0.5000 0.6646
Tm 0.5000 0.5000 0.0000
Tm 0.0000 0.5000 0.5000
Tm 0.5000 0.5000 0.3354
Tm 0.5000 0.0000 0.5000
Tm 0.0000 0.5000 0.1703
Tm 0.5000 0.0000 0.1703
Tm 0.5000 0.0000 0.8297
Sc 0.0000 0.0000 0.6653
Sc 0.0000 0.0000 0.3347
Er 0.0000 0.0000 0.0000

E_tot in eV/atom: -4.7491
Space-group type: No. 123
Energy above the most stable polymorph in this dataset in meV per atom: 0


(3)
Computed, not measured: a relaxed structure of LiMgI2N at the PBE level of DFT.

a b c (Å): 5.5754 5.5754 4.0033
angles (deg): 90.00 90.00 90.00
Last column: magnetic moment on the atom in μB.
Atoms (fractional coordinates):
I 0.0000 0.5000 0.0000  0.08
I 0.5000 0.0000 0.0000  0.08
Mg 0.5000 0.5000 0.5000  0.00
N 0.0000 0.0000 0.5000  1.38
Li 0.0000 0.0000 0.0000  0.00

E_tot in eV/atom: -2.6677
Space-group type: No. 123
Energy above the most stable polymorph in this dataset in meV per atom: 439


(4)
Computed, not measured: a relaxed structure of ScSiPb2 at the PBE level of DFT.

a b c (Å): 8.5264 8.5264 8.5264
angles (deg): 25.50 25.50 25.50
Atoms (fractional coordinates):
Pb 0.0075 0.0075 0.0075
Pb 0.4925 0.4925 0.4925
Si 0.7500 0.7500 0.7500
Sc 0.2500 0.2500 0.2500

E_tot in eV/atom: -4.5572
Space-group type: No. 166


(5)
Computed, not measured: a relaxed structure of ScV2Zn2 at the PBE level of DFT.

a b c (Å): 7.1229 7.1229 3.2202
angles (deg): 90.00 90.00 90.00
Last column: magnetic moment on the atom in μB.
Atoms (fractional coordinates):
Zn 0.1253 0.3747 0.0000  0.02
Zn 0.8747 0.6253 0.0000  0.02
Zn 0.6253 0.1253 0.0000  0.02
Zn 0.3747 0.8747 0.0000  0.02
V 0.3276 0.1724 0.5000  1.41
V 0.1724 0.6724 0.5000  1.41
V 0.6724 0.8276 0.5000  1.41
V 0.8276 0.3276 0.5000  1.41
Sc 0.0000 0.0000 0.0000  0.18
Sc 0.5000 0.5000 0.0000  0.18

E_tot in eV/atom: -5.2410
Space-group type: No. 127
Energy above the most stable polymorph in this dataset in meV per atom: 107


(6)
Computed, not measured: a relaxed structure of U6Mn at the PBE level of DFT.

a b c (Å): 7.6422 7.6422 7.6422
angles (deg): 96.85 96.85 139.59
Atoms (fractional coordinates):
U 0.2183 0.9015 0.1197
U 0.9066 0.4066 0.3133
U 0.0934 0.5934 0.6867
U 0.5985 0.2817 0.8803
U 0.2817 0.4015 0.6832
U 0.7817 0.0985 0.8803
U 0.4015 0.7183 0.1197
U 0.5934 0.9066 0.5000
U 0.7183 0.5985 0.3168
U 0.4066 0.0934 0.5000
U 0.0985 0.2183 0.3168
U 0.9015 0.7817 0.6832
Mn 0.2500 0.2500 0.0000
Mn 0.7500 0.7500 0.0000

E_tot in eV/atom: -10.9563
Space-group type: No. 140
Energy above the most stable polymorph in this dataset in meV per atom: 0